1.
An optimized crystal structure of TbNdErZn. Source: the Alexandria database, functional PBE.

Cell: 3.583 3.583 8.708 Å, 90.00 90.00 90.00°
Sites, in units of the cell vectors:
Nd  0.000  0.000  0.074
Tb  0.500  0.500  0.774
Zn  0.000  0.000  0.567
Er  0.500  0.500  0.370

Properties
- polymorph energy (0 for the lowest one) (meV per atom) = 0
- volume (Å³/cell) = 111.8
- DFT formation energy (kJ per mole of atoms) = -16

2.
An optimized crystal structure of Tb2Nd3Er6Zr. Source: the Alexandria database, functional PBE.

Cell: 6.120 6.120 11.630 Å, 95.02 95.02 119.95°
Sites, in units of the cell vectors:
Nd  0.166  0.834  0.500
Nd  0.500  0.500  0.500
Nd  0.834  0.166  0.500
Tb  0.667  0.333  0.000
Tb  0.333  0.667  0.000
Er  0.407  0.080  0.242
Er  0.593  0.920  0.758
Er  0.246  0.246  0.758
Er  0.080  0.407  0.242
Er  0.754  0.754  0.242
Er  0.920  0.593  0.758
Zr  0.000  0.000  0.000

Properties
- volume (Å³/cell) = 371.6
- DFT formation energy (kJ per mole of atoms) = 4

3.
An optimized crystal structure of Tb3Nd2Er6Zr. Source: the Alexandria database, functional PBE.

Cell: 6.095 6.095 11.627 Å, 95.00 95.00 119.94°
Sites, in units of the cell vectors:
Er  0.591  0.918  0.753
Er  0.918  0.591  0.753
Er  0.082  0.409  0.247
Er  0.244  0.244  0.753
Er  0.756  0.756  0.247
Er  0.409  0.082  0.247
Zr  0.000  0.000  0.000
Nd  0.333  0.667  0.000
Nd  0.667  0.333  0.000
Tb  0.166  0.834  0.500
Tb  0.834  0.166  0.500
Tb  0.500  0.500  0.500

Properties
- volume (Å³/cell) = 368.6
- DFT formation energy (kJ per mole of atoms) = 5

volume of number 2 (Tb2Nd3Er6Zr)?
371.6 Å³/cell